Ba2LaTlIr: relaxed, PBE.

abc: 6.213 6.213 5.418
angles: 90.00 90.00 90.00
Positions (direct):
La (0.000, 0.000, 0.500)
Tl (0.500, 0.500, 0.500)
Ir (0.000, 0.000, 0.000)
Ba (0.000, 0.500, 0.000)
Ba (0.500, 0.000, 0.000)

Values from the calculation:
energy relative to the elements = -0.24 eV per atom
DOS at the Fermi energy = 4.15 states/eV per cell

BaLa2YIr: relaxed, PBE.

abc: 5.737 5.737 5.732
angles: 90.00 90.00 90.00
Positions (direct):
Ba (0.500, 0.500, 0.500)
Ir (0.000, 0.000, 0.000)
Y (0.000, 0.000, 0.500)
La (0.000, 0.500, 0.000)
La (0.500, 0.000, 0.000)

Values from the calculation:
energy relative to the elements = -0.31 eV per atom
DOS at the Fermi energy = 6.15 states/eV per cell

BaLa2ZnIr: relaxed, PBE.

abc: 5.610 5.610 5.219
angles: 90.00 90.00 90.00
Positions (direct):
Ir (0.000, 0.000, 0.000)
Zn (0.000, 0.000, 0.500)
Ba (0.500, 0.500, 0.500)
La (0.500, 0.000, 0.000)
La (0.000, 0.500, 0.000)

Values from the calculation:
energy relative to the elements = -0.27 eV per atom
DOS at the Fermi energy = 3.19 states/eV per cell

BaLaZn2Ir: relaxed, PBE.

abc: 5.139 5.139 5.272
angles: 90.00 90.00 90.00
Positions (direct):
Zn (0.500, 0.000, 0.000)
La (0.000, 0.000, 0.500)
Zn (0.000, 0.500, 0.000)
Ba (0.500, 0.500, 0.500)
Ir (0.000, 0.000, 0.000)

Values from the calculation:
energy relative to the elements = -0.29 eV per atom
DOS at the Fermi energy = 2.37 states/eV per cell

BaLi4Ir: relaxed, PBE.

abc: 5.490 5.490 5.490
angles: 60.00 60.00 60.00
Positions (direct):
Ir (0.000, 0.000, 0.000)
Li (0.890, 0.370, 0.370)
Li (0.370, 0.370, 0.890)
Li (0.370, 0.890, 0.370)
Li (0.370, 0.370, 0.370)
Ba (0.750, 0.750, 0.750)

Values from the calculation:
energy relative to the elements = 0.16 eV per atom
DOS at the Fermi energy = 5.52 states/eV per cell

Ba2LiIr: relaxed, PBE.

abc: 4.634 4.579 6.501
angles: 69.38 90.00 90.00
Positions (direct):
Ba (0.500, 0.260, 0.354)
Li (0.500, 0.578, 0.720)
Ir (0.000, 0.674, 0.526)
Ba (0.000, 0.988, 0.899)

Values from the calculation:
energy relative to the elements = -0.05 eV per atom
DOS at the Fermi energy = 1.26 states/eV per cell

Ba2LiIr: relaxed, PBE.

abc: 11.520 11.520 8.519
angles: 47.46 47.46 90.00
Positions (direct):
Ba (0.375, 0.194, 0.750)
Ir (0.750, 0.250, 0.500)
Li (0.500, 0.500, 0.000)
Ba (0.875, 0.056, 0.750)
Ba (0.944, 0.625, 0.250)
Ir (0.000, 0.000, 0.000)
Ba (0.806, 0.125, 0.250)
Li (0.250, 0.750, 0.500)

Values from the calculation:
energy relative to the elements = 0.04 eV per atom
DOS at the Fermi energy = 1.53 states/eV per cell

BaLiIr3: relaxed, PBE.

abc: 4.507 4.507 4.507
angles: 90.00 90.00 90.00
Positions (direct):
Li (0.000, 0.000, 0.000)
Ir (0.500, 0.000, 0.000)
Ir (0.000, 0.000, 0.500)
Ba (0.500, 0.500, 0.500)
Ir (0.000, 0.500, 0.000)

Values from the calculation:
energy relative to the elements = 0.81 eV per atom
DOS at the Fermi energy = 4.42 states/eV per cell
polymorph energy (0 for the lowest one) = 0.0000 eV per atom